No. 1
Pm2YTcO8 after structural relaxation, computed with PBE.

Properties
ΔE_f (raw) = -2.549 eV/atom
Size of the total moment = 0.0 μB/cell

Lattice parameters (Å, degrees): 5.1484 6.8655 5.1516 90.00 90.79 90.00
Fractional coordinates of all 12 atoms:
Pm 0.0000 0.2505 0.0000
Pm 0.0000 0.7495 0.0000
Y 0.5000 0.0000 0.5000
Tc 0.5000 0.5000 0.5000
O 0.1980 0.0000 0.1970
O 0.2398 0.5000 0.2377
O 0.3217 0.2939 0.6766
O 0.3217 0.7061 0.6766
O 0.6783 0.2939 0.3234
O 0.6783 0.7061 0.3234
O 0.7602 0.5000 0.7623
O 0.8020 0.0000 0.8030


No. 2
ScTl2Pb after structural relaxation, computed with PBE.

Properties
Energy of formation = -0.31 eV/f.u.
Size of the total moment = 0.0 μB/cell

Lattice parameters (Å, degrees): 6.3992 6.3992 5.5206 114.30 114.30 31.88
Fractional coordinates of all 4 atoms:
Sc 0.0000 0.0000 0.0000
Tl 0.2656 0.2656 0.7656
Tl 0.7344 0.7344 0.2344
Pb 0.5000 0.5000 0.5000


No. 3
LiErScMo after structural relaxation, computed with PBE.

Properties
Energy of formation = 0.95 eV/f.u.
Size of the total moment = 0.0 μB/cell

Lattice parameters (Å, degrees): 4.8442 4.8442 4.8442 60.00 60.00 60.00
Fractional coordinates of all 4 atoms:
Li 0.0000 0.0000 0.0000
Er 0.2500 0.2500 0.2500
Sc 0.7500 0.7500 0.7500
Mo 0.5000 0.5000 0.5000